i) A plane-wave DFT calculation with PBE was carried out for crystalline AcDyTa at its relaxed geometry.

Output
Magnetic moment (μB/f.u.): 2.83
Calculated density (g cm⁻³): 9.440

a = 7.3765 Å, b = 7.3765 Å, c = 7.3765 Å
α = 90.00°, β = 90.00°, γ = 90.00°
Space group F-43m (No. 216)
Inequivalent atoms, fractional coordinates:
Ac 0.0000 0.0000 0.0000 x4
Dy 0.2500 0.2500 0.2500 x4
Ta 0.0000 0.0000 0.5000 x4



ii) A plane-wave DFT calculation with PBE was carried out for crystalline AcDyTa at its relaxed geometry.

Output
Magnetic moment (μB/f.u.): 0.99
Calculated density (g cm⁻³): 9.467

a = 7.3696 Å, b = 7.3696 Å, c = 7.3696 Å
α = 90.00°, β = 90.00°, γ = 90.00°
Space group F-43m (No. 216)
Inequivalent atoms, fractional coordinates:
Ac 0.0000 0.0000 0.0000 x4
Dy 0.2500 0.2500 0.7500 x4
Ta 0.2500 0.2500 0.2500 x4



So which one is most stable? That would be i), about 19.4 kJ/mol of atoms below the next structure.



i) A plane-wave DFT calculation with PBE was carried out for crystalline AcDyTe at its relaxed geometry.

Output
Magnetic moment (μB/f.u.): 1.06
Calculated density (g cm⁻³): 7.892

a = 7.5781 Å, b = 7.5781 Å, c = 7.5781 Å
α = 90.00°, β = 90.00°, γ = 90.00°
Space group F-43m (No. 216)
Inequivalent atoms, fractional coordinates:
Ac 0.0000 0.0000 0.0000 x4
Dy 0.0000 0.0000 0.5000 x4
Te 0.2500 0.2500 0.2500 x4



ii) A plane-wave DFT calculation with PBE was carried out for crystalline AcDyTe at its relaxed geometry.

Output
Magnetic moment (μB/f.u.): 0.91
Calculated density (g cm⁻³): 6.971

a = 7.8984 Å, b = 7.8984 Å, c = 7.8984 Å
α = 90.00°, β = 90.00°, γ = 90.00°
Space group F-43m (No. 216)
Inequivalent atoms, fractional coordinates:
Ac 0.0000 0.0000 0.0000 x4
Dy 0.2500 0.2500 0.7500 x4
Te 0.2500 0.2500 0.2500 x4



So which one is most stable? That would be i), about 64.4 kJ/mol of atoms below the next structure.



i) A plane-wave DFT calculation with PBE was carried out for crystalline AcHoEr at its relaxed geometry.

Output
Magnetic moment (μB/f.u.): 0.00
Calculated density (g cm⁻³): 7.444

a = 7.9314 Å, b = 7.9314 Å, c = 7.9314 Å
α = 90.00°, β = 90.00°, γ = 90.00°
Space group F-43m (No. 216)
Inequivalent atoms, fractional coordinates:
Ac 0.0000 0.0000 0.0000 x4
Ho 0.0000 0.0000 0.5000 x4
Er 0.2500 0.2500 0.2500 x4



ii) A plane-wave DFT calculation with PBE was carried out for crystalline AcHoEr at its relaxed geometry.

Output
Magnetic moment (μB/f.u.): 0.05
Calculated density (g cm⁻³): 7.370

a = 7.9580 Å, b = 7.9580 Å, c = 7.9580 Å
α = 90.00°, β = 90.00°, γ = 90.00°
Space group F-43m (No. 216)
Inequivalent atoms, fractional coordinates:
Ac 0.0000 0.0000 0.0000 x4
Ho 0.2500 0.2500 0.2500 x4
Er 0.2500 0.2500 0.7500 x4



So which one is most stable? That would be i), about 15.9 kJ/mol of atoms below the next structure.